# 1
Computed, not measured: an optimized crystal structure of NdHoMgAl at the PBE level of DFT.

Summary:
Total magnetization = 0.000 μB/f.u.
Volume = 25.90 Å³/atom
E_tot = -3.93 eV/atom

Cell lengths 7.4551, 7.4551, 7.4551 Å; angles 90.00, 90.00, 90.00 degrees
Closest atoms and distances in Å follow each position.
Space group F-43m (No. 216)
Symmetry-distinct sites (fractional):
Nd: 0.0000 0.0000 0.0000  4 Mg 3.23, 4 Al 3.23
Ho: 0.0000 0.0000 0.5000  4 Al 3.23, 4 Mg 3.23
Mg: 0.2500 0.2500 0.2500  4 Ho 3.23, 4 Nd 3.23
Al: 0.2500 0.2500 0.7500  4 Ho 3.23, 4 Nd 3.23

# 2
Computed, not measured: an optimized crystal structure of IrPbCl2 at the PBE level of DFT.

Summary:
Total magnetization = 0.000 μB/f.u.
Volume = 24.32 Å³/atom
Distance to the lowest polymorph of the same formula = 296.9 meV/atom
Formation energy from raw total energies = 0.79 eV per formula unit

Cell lengths 4.4202, 5.5323, 7.9548 Å; angles 90.00, 90.00, 90.00 degrees
Closest atoms and distances in Å follow each position.
Space group Cmm2 (No. 35)
Symmetry-distinct sites (fractional):
Ir: 0.0000 0.0000 0.0000  2 Cl 2.34
Pb: 0.0000 0.5000 0.7196  3 Cl 2.88-2.99, 2 Ir 3.14
Cl: 0.0000 0.0000 0.4875  2 Pb 2.88
Cl: 0.0000 0.5000 0.0951  2 Ir 2.34